Density functional theory data (PBE-GGA) for an optimized crystal structure of Th2Al4GaCu3.

a b c (Å): 4.218 4.218 10.401
angles (deg): 90.00 90.00 90.00
Fractional coordinates of all 10 atoms:
Th  0.000  0.500  0.250
Th  0.500  0.000  0.750
Al  0.000  0.000  0.000
Al  0.000  0.500  0.638
Al  0.500  0.000  0.362
Al  0.500  0.500  0.000
Ga  0.000  0.000  0.500
Cu  0.000  0.500  0.869
Cu  0.500  0.000  0.131
Cu  0.500  0.500  0.500

Calculated values
**N(E_F)**: 2.5 states/eV/f.u.
**Total DFT energy (no corrections)**: -4.96 eV per atom
**Total magnetization**: 0.00 μB/cell
**DFT formation energy**: -0.449 eV per atom
**V**: 185 Å³ per cell

Density functional theory data (PBE-GGA) for an optimized crystal structure of ThAlGaCu3.

a b c (Å): 6.680 6.680 5.911
angles (deg): 90.00 90.00 125.23
Fractional coordinates of all 12 atoms:
Th  0.208  0.792  0.750
Th  0.792  0.208  0.250
Al  0.457  0.543  0.750
Al  0.543  0.457  0.250
Ga  0.138  0.862  0.250
Ga  0.862  0.138  0.750
Cu  0.201  0.201  0.000
Cu  0.201  0.201  0.500
Cu  0.345  0.655  0.250
Cu  0.655  0.345  0.750
Cu  0.799  0.799  0.000
Cu  0.799  0.799  0.500

Calculated values
**N(E_F)**: 3.4 states/eV/f.u.
**Total DFT energy (no corrections)**: -4.49 eV per atom
**Total magnetization**: 0.00 μB/cell
**DFT formation energy**: -0.076 eV per atom
**V**: 215 Å³ per cell

Density functional theory data (PBE-GGA) for an optimized crystal structure of ThAlGaCu.

a b c (Å): 4.822 4.822 4.822
angles (deg): 60.00 60.00 60.00
Fractional coordinates of all 4 atoms:
Th  0.000  0.000  0.000
Al  0.500  0.500  0.500
Ga  0.750  0.750  0.750
Cu  0.250  0.250  0.250

Calculated values
**N(E_F)**: 3.7 states/eV/f.u.
**Total DFT energy (no corrections)**: -4.79 eV per atom
**Total magnetization**: 0.00 μB/cell
**DFT formation energy**: -0.222 eV per atom
**V**: 79 Å³ per cell

Density functional theory data (PBE-GGA) for an optimized crystal structure of Th2AlGa4Cu3.

a b c (Å): 4.191 4.191 10.453
angles (deg): 90.00 90.00 90.00
Fractional coordinates of all 10 atoms:
Th  0.000  0.500  0.246
Th  0.500  0.000  0.754
Al  0.000  0.000  0.500
Ga  0.000  0.000  0.000
Ga  0.000  0.500  0.641
Ga  0.500  0.000  0.359
Ga  0.500  0.500  0.000
Cu  0.000  0.500  0.871
Cu  0.500  0.000  0.129
Cu  0.500  0.500  0.500

Calculated values
**N(E_F)**: 2.5 states/eV/f.u.
**Total DFT energy (no corrections)**: -4.77 eV per atom
**Total magnetization**: 0.00 μB/cell
**DFT formation energy**: -0.474 eV per atom
**V**: 184 Å³ per cell

Density functional theory data (PBE-GGA) for an optimized crystal structure of Th2AlGa6Cu.

a b c (Å): 12.210 12.210 12.210
angles (deg): 30.24 30.24 30.24
Fractional coordinates of all 20 atoms:
Th  0.118  0.118  0.118
Th  0.299  0.299  0.299
Th  0.701  0.701  0.701
Th  0.882  0.882  0.882
Al  0.000  0.000  0.000
Al  0.500  0.500  0.500
Ga  0.052  0.660  0.660
Ga  0.233  0.233  0.670
Ga  0.233  0.670  0.233
Ga  0.330  0.767  0.767
Ga  0.340  0.340  0.948
Ga  0.340  0.948  0.340
Ga  0.660  0.052  0.660
Ga  0.660  0.660  0.052
Ga  0.670  0.233  0.233
Ga  0.767  0.330  0.767
Ga  0.767  0.767  0.330
Ga  0.948  0.340  0.340
Cu  0.433  0.433  0.433
Cu  0.567  0.567  0.567

Calculated values
**N(E_F)**: 4.3 states/eV/f.u.
**Total DFT energy (no corrections)**: -4.34 eV per atom
**Total magnetization**: 0.00 μB/cell
**DFT formation energy**: -0.258 eV per atom
**V**: 409 Å³ per cell

Density functional theory data (PBE-GGA) for an optimized crystal structure of Ti2AlGa2Cu7.

a b c (Å): 3.755 3.755 11.769
angles (deg): 90.00 90.00 91.15
Fractional coordinates of all 12 atoms:
Ti  0.000  0.000  0.179
Ti  0.000  0.000  0.821
Al  0.500  0.500  0.500
Ga  0.500  0.500  0.199
Ga  0.500  0.500  0.801
Cu  0.000  0.000  0.500
Cu  0.000  0.500  0.349
Cu  0.000  0.500  0.651
Cu  0.274  0.726  0.000
Cu  0.500  0.000  0.349
Cu  0.500  0.000  0.651
Cu  0.726  0.274  0.000

Calculated values
**N(E_F)**: 5.7 states/eV/f.u.
**Total DFT energy (no corrections)**: -4.65 eV per atom
**Total magnetization**: 0.00 μB/cell
**DFT formation energy**: -0.130 eV per atom
**V**: 166 Å³ per cell

Density functional theory data (PBE-GGA) for an optimized crystal structure of TmAlGaCu3.

a b c (Å): 6.707 6.707 5.577
angles (deg): 90.00 90.00 126.23
Fractional coordinates of all 12 atoms:
Tm  0.193  0.807  0.750
Tm  0.807  0.193  0.250
Al  0.434  0.566  0.750
Al  0.566  0.434  0.250
Ga  0.148  0.852  0.250
Ga  0.852  0.148  0.750
Cu  0.201  0.201  0.000
Cu  0.201  0.201  0.500
Cu  0.358  0.642  0.250
Cu  0.642  0.358  0.750
Cu  0.799  0.799  0.000
Cu  0.799  0.799  0.500

Calculated values
**N(E_F)**: 2.4 states/eV/f.u.
**Total DFT energy (no corrections)**: -4.06 eV per atom
**Total magnetization**: 0.00 μB/cell
**DFT formation energy**: -0.140 eV per atom
**V**: 202 Å³ per cell

Density functional theory data (PBE-GGA) for an optimized crystal structure of Tm2AlGa3Cu4.

a b c (Å): 4.066 4.066 10.217
angles (deg): 90.00 90.00 90.00
Fractional coordinates of all 10 atoms:
Tm  0.000  0.500  0.245
Tm  0.500  0.000  0.755
Al  0.000  0.000  0.500
Ga  0.000  0.500  0.868
Ga  0.500  0.000  0.132
Ga  0.500  0.500  0.500
Cu  0.000  0.000  0.000
Cu  0.000  0.500  0.637
Cu  0.500  0.000  0.363
Cu  0.500  0.500  0.000

Calculated values
**N(E_F)**: 4.5 states/eV/f.u.
**Total DFT energy (no corrections)**: -4.23 eV per atom
**Total magnetization**: 0.00 μB/cell
**DFT formation energy**: -0.416 eV per atom
**V**: 169 Å³ per cell

Density functional theory data (PBE-GGA) for an optimized crystal structure of TmAlGaCu.

a b c (Å): 4.650 4.650 4.650
angles (deg): 60.00 60.00 60.00
Fractional coordinates of all 4 atoms:
Tm  0.000  0.000  0.000
Al  0.500  0.500  0.500
Ga  0.750  0.750  0.750
Cu  0.250  0.250  0.250

Calculated values
**N(E_F)**: 0.9 states/eV/f.u.
**Total DFT energy (no corrections)**: -4.17 eV per atom
**Total magnetization**: 0.00 μB/cell
**DFT formation energy**: -0.332 eV per atom
**V**: 71 Å³ per cell

Density functional theory data (PBE-GGA) for an optimized crystal structure of TmAl2GaCu2.

a b c (Å): 4.467 4.467 5.515
angles (deg): 90.00 90.00 90.00
Fractional coordinates of all 6 atoms:
Tm  0.000  0.000  0.000
Al  0.500  0.500  0.236
Al  0.500  0.500  0.764
Ga  0.000  0.000  0.500
Cu  0.000  0.500  0.500
Cu  0.500  0.000  0.500

Calculated values
**N(E_F)**: 2.0 states/eV/f.u.
**Total DFT energy (no corrections)**: -3.89 eV per atom
**Total magnetization**: 0.00 μB/cell
**DFT formation energy**: -0.025 eV per atom
**V**: 110 Å³ per cell

Density functional theory data (PBE-GGA) for an optimized crystal structure of TmAl2GaCu4.

a b c (Å): 8.614 8.614 8.614
angles (deg): 27.99 27.99 27.99
Fractional coordinates of all 8 atoms:
Tm  0.000  0.000  0.000
Al  0.248  0.248  0.248
Al  0.752  0.752  0.752
Ga  0.500  0.500  0.500
Cu  0.127  0.127  0.127
Cu  0.400  0.400  0.400
Cu  0.600  0.600  0.600
Cu  0.873  0.873  0.873

Calculated values
**N(E_F)**: 2.1 states/eV/f.u.
**Total DFT energy (no corrections)**: -4.17 eV per atom
**Total magnetization**: 0.00 μB/cell
**DFT formation energy**: -0.246 eV per atom
**V**: 124 Å³ per cell

Density functional theory data (PBE-GGA) for an optimized crystal structure of AlVGaCu.

a b c (Å): 3.649 3.847 3.908
angles (deg): 90.00 90.00 90.00
Fractional coordinates of all 4 atoms:
Al  0.000  0.000  0.000
V  0.500  0.000  0.500
Ga  0.000  0.500  0.500
Cu  0.500  0.500  0.000

Calculated values
**N(E_F)**: 1.3 states/eV/f.u.
**Total DFT energy (no corrections)**: -5.22 eV per atom
**Total magnetization**: 0.00 μB/cell
**DFT formation energy**: -0.225 eV per atom
**V**: 55 Å³ per cell

Density functional theory data (PBE-GGA) for an optimized crystal structure of YAlGaCu3.

a b c (Å): 6.725 6.725 5.628
angles (deg): 90.00 90.00 125.84
Fractional coordinates of all 12 atoms:
Y  0.199  0.801  0.750
Y  0.801  0.199  0.250
Al  0.442  0.558  0.750
Al  0.558  0.442  0.250
Ga  0.145  0.855  0.250
Ga  0.855  0.145  0.750
Cu  0.200  0.200  0.000
Cu  0.200  0.200  0.500
Cu  0.354  0.646  0.250
Cu  0.646  0.354  0.750
Cu  0.800  0.800  0.000
Cu  0.800  0.800  0.500

Calculated values
**N(E_F)**: 2.4 states/eV/f.u.
**Total DFT energy (no corrections)**: -4.40 eV per atom
**Total magnetization**: 0.00 μB/cell
**DFT formation energy**: -0.149 eV per atom
**V**: 206 Å³ per cell

Density functional theory data (PBE-GGA) for an optimized crystal structure of YAl2GaCu4.

a b c (Å): 8.768 8.768 8.768
angles (deg): 27.50 27.50 27.50
Fractional coordinates of all 8 atoms:
Y  0.000  0.000  0.000
Al  0.246  0.246  0.246
Al  0.754  0.754  0.754
Ga  0.500  0.500  0.500
Cu  0.128  0.128  0.128
Cu  0.403  0.403  0.403
Cu  0.597  0.597  0.597
Cu  0.872  0.872  0.872

Calculated values
**N(E_F)**: 2.4 states/eV/f.u.
**Total DFT energy (no corrections)**: -4.43 eV per atom
**Total magnetization**: 0.00 μB/cell
**DFT formation energy**: -0.256 eV per atom
**V**: 127 Å³ per cell

Density functional theory data (PBE-GGA) for an optimized crystal structure of Y2Al3GaCu4.

a b c (Å): 4.133 4.133 10.168
angles (deg): 90.00 90.00 90.00
Fractional coordinates of all 10 atoms:
Y  0.000  0.500  0.248
Y  0.500  0.000  0.752
Al  0.000  0.500  0.871
Al  0.500  0.000  0.129
Al  0.500  0.500  0.500
Ga  0.000  0.000  0.500
Cu  0.000  0.000  0.000
Cu  0.000  0.500  0.636
Cu  0.500  0.000  0.364
Cu  0.500  0.500  0.000

Calculated values
**N(E_F)**: 4.6 states/eV/f.u.
**Total DFT energy (no corrections)**: -4.77 eV per atom
**Total magnetization**: 0.00 μB/cell
**DFT formation energy**: -0.418 eV per atom
**V**: 174 Å³ per cell

Density functional theory data (PBE-GGA) for an optimized crystal structure of YAl2GaCu.

a b c (Å): 4.539 4.539 5.289
angles (deg): 90.00 90.00 90.00
Fractional coordinates of all 5 atoms:
Y  0.000  0.000  0.000
Al  0.000  0.500  0.500
Al  0.500  0.000  0.500
Ga  0.500  0.500  0.000
Cu  0.000  0.000  0.500

Calculated values
**N(E_F)**: 4.3 states/eV/f.u.
**Total DFT energy (no corrections)**: -4.23 eV per atom
**Total magnetization**: 0.00 μB/cell
**DFT formation energy**: -0.020 eV per atom
**V**: 109 Å³ per cell

Density functional theory data (PBE-GGA) for an optimized crystal structure of Y2AlGa6Cu.

a b c (Å): 12.355 12.355 12.355
angles (deg): 29.45 29.45 29.45
Fractional coordinates of all 20 atoms:
Y  0.118  0.118  0.118
Y  0.303  0.303  0.303
Y  0.697  0.697  0.697
Y  0.882  0.882  0.882
Al  0.000  0.000  0.000
Al  0.500  0.500  0.500
Ga  0.053  0.658  0.658
Ga  0.231  0.231  0.678
Ga  0.231  0.678  0.231
Ga  0.322  0.769  0.769
Ga  0.342  0.342  0.947
Ga  0.342  0.947  0.342
Ga  0.658  0.053  0.658
Ga  0.658  0.658  0.053
Ga  0.678  0.231  0.231
Ga  0.769  0.322  0.769
Ga  0.769  0.769  0.322
Ga  0.947  0.342  0.342
Cu  0.432  0.432  0.432
Cu  0.568  0.568  0.568

Calculated values
**N(E_F)**: 4.8 states/eV/f.u.
**Total DFT energy (no corrections)**: -4.14 eV per atom
**Total magnetization**: 0.00 μB/cell
**DFT formation energy**: -0.243 eV per atom
**V**: 403 Å³ per cell

Density functional theory data (PBE-GGA) for an optimized crystal structure of Y2AlGa3Cu12.

a b c (Å): 6.542 6.542 6.542
angles (deg): 84.37 84.37 84.37
Fractional coordinates of all 18 atoms:
Y  0.198  0.198  0.198
Y  0.802  0.802  0.802
Al  0.500  0.500  0.500
Ga  0.000  0.500  0.500
Ga  0.500  0.000  0.500
Ga  0.500  0.500  0.000
Cu  0.088  0.088  0.629
Cu  0.088  0.629  0.088
Cu  0.224  0.697  0.697
Cu  0.303  0.303  0.776
Cu  0.303  0.776  0.303
Cu  0.371  0.912  0.912
Cu  0.629  0.088  0.088
Cu  0.697  0.224  0.697
Cu  0.697  0.697  0.224
Cu  0.776  0.303  0.303
Cu  0.912  0.371  0.912
Cu  0.912  0.912  0.371

Calculated values
**N(E_F)**: 5.8 states/eV/f.u.
**Total DFT energy (no corrections)**: -4.18 eV per atom
**Total magnetization**: 0.00 μB/cell
**DFT formation energy**: -0.017 eV per atom
**V**: 276 Å³ per cell

Density functional theory data (PBE-GGA) for an optimized crystal structure of YAlGaCu2.

a b c (Å): 6.159 6.159 6.159
angles (deg): 143.27 141.28 54.43
Fractional coordinates of all 5 atoms:
Y  0.000  0.000  0.000
Al  0.257  0.757  0.500
Ga  0.612  0.612  0.000
Cu  0.393  0.393  0.000
Cu  0.757  0.257  0.500

Calculated values
**N(E_F)**: 1.9 states/eV/f.u.
**Total DFT energy (no corrections)**: -4.69 eV per atom
**Total magnetization**: 0.00 μB/cell
**DFT formation energy**: -0.405 eV per atom
**V**: 87 Å³ per cell

Density functional theory data (PBE-GGA) for an optimized crystal structure of YAlGa2Cu4.

a b c (Å): 8.696 8.696 8.696
angles (deg): 27.76 27.76 27.76
Fractional coordinates of all 8 atoms:
Y  0.000  0.000  0.000
Al  0.500  0.500  0.500
Ga  0.249  0.249  0.249
Ga  0.751  0.751  0.751
Cu  0.131  0.131  0.131
Cu  0.403  0.403  0.403
Cu  0.597  0.597  0.597
Cu  0.869  0.869  0.869

Calculated values
**N(E_F)**: 1.9 states/eV/f.u.
**Total DFT energy (no corrections)**: -4.35 eV per atom
**Total magnetization**: 0.00 μB/cell
**DFT formation energy**: -0.265 eV per atom
**V**: 126 Å³ per cell

Density functional theory data (PBE-GGA) for an optimized crystal structure of AlZn2Ga2Cu7.

a b c (Å): 3.729 3.729 11.820
angles (deg): 90.06 90.06 91.97
Fractional coordinates of all 12 atoms:
Al  0.000  0.000  0.000
Zn  0.499  0.499  0.686
Zn  0.501  0.501  0.314
Ga  0.000  0.000  0.317
Ga  0.000  0.000  0.683
Cu  0.000  0.500  0.155
Cu  0.000  0.500  0.845
Cu  0.250  0.250  0.500
Cu  0.500  0.000  0.155
Cu  0.500  0.000  0.845
Cu  0.500  0.500  0.000
Cu  0.750  0.750  0.500

Calculated values
**N(E_F)**: 3.3 states/eV/f.u.
**Total DFT energy (no corrections)**: -3.45 eV per atom
**Total magnetization**: 0.00 μB/cell
**DFT formation energy**: -0.037 eV per atom
**V**: 164 Å³ per cell

Density functional theory data (PBE-GGA) for an optimized crystal structure of Al2Zn2GaCu7.

a b c (Å): 3.737 3.737 11.756
angles (deg): 90.00 90.00 92.18
Fractional coordinates of all 12 atoms:
Al  0.000  0.000  0.184
Al  0.000  0.000  0.816
Zn  0.500  0.500  0.187
Zn  0.500  0.500  0.813
Ga  0.000  0.000  0.500
Cu  0.000  0.500  0.342
Cu  0.000  0.500  0.658
Cu  0.251  0.251  0.000
Cu  0.500  0.000  0.342
Cu  0.500  0.000  0.658
Cu  0.500  0.500  0.500
Cu  0.749  0.749  0.000

Calculated values
**N(E_F)**: 3.6 states/eV/f.u.
**Total DFT energy (no corrections)**: -3.50 eV per atom
**Total magnetization**: 0.00 μB/cell
**DFT formation energy**: -0.024 eV per atom
**V**: 164 Å³ per cell